No. 1
Below is a relaxed structure of AgBi2S3Cl, with properties calculated at the PBEsol level.

Structure (extended XYZ):
```
14
Lattice="3.963 0.000 0.000 0.000 7.627 -0.037 0.000 -2.414 10.434" Properties=species:S:1:pos:R:3 pbc="T T T"
Ag 0.991 5.766 6.147
Ag 2.972 -0.553 4.250
Bi 0.991 1.950 6.838
Bi 2.972 3.263 3.559
Bi 2.972 -0.803 9.651
Bi 0.991 6.016 0.746
S 0.991 5.215 8.837
S 2.972 3.826 6.105
S 0.991 1.387 4.292
S 2.972 -0.002 1.560
S 2.972 -0.102 6.873
S 0.991 5.315 3.525
Cl 0.991 2.863 1.055
Cl 2.972 2.350 9.343
```

Properties
- formation energy without anion corrections (eV/atom) = -0.442
- space group = P2_1/m

---

No. 2
Below is a relaxed structure of CsTiIn3, with properties calculated at the PBEsol level.

Structure (extended XYZ):
```
5
Lattice="-3.248 1.821 -3.997 1.362 -4.309 -3.070 -4.176 -2.821 2.108" Properties=species:S:1:pos:R:3 pbc="T T T"
Cs -3.031 -2.655 -2.480
Ti 0.000 0.000 0.000
In 0.681 -2.154 -1.535
In -2.088 -1.411 1.054
In -1.624 0.911 -1.999
```

Properties
- energy relative to the elements (eV per atom) = 0.198
- space group = Pm-3m
- D(E_F) (states/eV/cell) = 5.0

---

No. 3
Below is a relaxed structure of Tl2As, with properties calculated at the PBEsol level.

Structure (extended XYZ):
```
3
Lattice="-1.917 0.160 2.768 -2.772 -0.196 -1.909 2.490 -6.874 0.069" Properties=species:S:1:pos:R:3 pbc="T T T"
Tl -2.243 -4.868 0.781
Tl 0.043 -2.042 0.148
As -2.345 -0.018 0.430
```

Properties
- energy relative to the elements (eV per atom) = 0.099
- space group = I4/mmm
- D(E_F) (states/eV/cell) = 1.0
- distance to the lowest polymorph of the same formula (meV per atom) = 51

---

No. 4
Below is a relaxed structure of RbGa3Fe, with properties calculated at the PBEsol level.

Structure (extended XYZ):
```
5
Lattice="4.659 0.000 0.000 0.000 4.659 0.000 0.000 0.000 4.659" Properties=species:S:1:pos:R:3 pbc="T T T"
Ga 0.000 2.330 0.000
Ga 0.000 0.000 2.330
Ga 2.330 0.000 0.000
Rb 2.330 2.330 2.330
Fe 0.000 0.000 0.000
```

Properties
- energy relative to the elements (eV per atom) = -0.131
- space group = Pm-3m
- D(E_F) (states/eV/cell) = 0.5

---

No. 5
Below is a relaxed structure of HfBi3W, with properties calculated at the PBEsol level.

Structure (extended XYZ):
```
5
Lattice="5.486 0.000 0.000 0.000 5.486 0.000 0.000 0.000 5.486" Properties=species:S:1:pos:R:3 pbc="T T T"
Hf 0.000 0.000 0.000
Bi 0.000 2.743 0.000
Bi 0.000 0.000 2.743
Bi 2.743 0.000 0.000
W 2.743 2.743 2.743
```

Properties
- energy relative to the elements (eV per atom) = 1.588
- space group = Pm-3m
- D(E_F) (states/eV/cell) = 4.2

---

No. 6
Below is a relaxed structure of Al2CoHg, with properties calculated at the PBEsol level.

Structure (extended XYZ):
```
4
Lattice="4.381 0.000 0.000 2.190 3.794 0.000 2.190 1.265 3.577" Properties=species:S:1:pos:R:3 pbc="T T T"
Co 4.381 2.529 1.788
Hg 6.571 3.794 2.683
Al 0.000 0.000 0.000
Al 2.190 1.265 0.894
```

Properties
- energy relative to the elements (eV per atom) = 0.206
- space group = F-43m
- D(E_F) (states/eV/cell) = 2.0
- distance to the lowest polymorph of the same formula (meV per atom) = 405

---

No. 7
Below is a relaxed structure of Mg2ZnOs, with properties calculated at the PBEsol level.

Structure (extended XYZ):
```
4
Lattice="-1.777 2.043 -0.287 -0.513 -1.009 -4.012 -4.127 -3.396 1.382" Properties=species:S:1:pos:R:3 pbc="T T T"
Mg -3.138 -2.582 1.051
Mg -0.989 -0.814 0.331
Os -1.145 0.517 -2.149
Zn -3.208 -1.181 -1.459
```

Properties
- energy relative to the elements (eV per atom) = 0.149
- space group = Pmmm
- D(E_F) (states/eV/cell) = 1.6

---

No. 8
Below is a relaxed structure of In3CoAg, with properties calculated at the PBEsol level.

Structure (extended XYZ):
```
5
Lattice="-5.008 -1.015 0.273 0.837 -4.657 -1.949 0.635 -1.863 4.724" Properties=species:S:1:pos:R:3 pbc="T T T"
Co -1.768 -3.767 1.524
Ag 0.000 0.000 0.000
In 0.419 -2.329 -0.974
In 0.317 -0.931 2.362
In -2.504 -0.507 0.136
```

Properties
- energy relative to the elements (eV per atom) = 0.975
- space group = Pm-3m
- D(E_F) (states/eV/cell) = 8.7

---

No. 9
Below is a relaxed structure of KRh, with properties calculated at the PBEsol level.

Structure (extended XYZ):
```
4
Lattice="-1.298 1.933 1.565 -1.550 -4.204 3.906 6.025 1.519 0.608" Properties=species:S:1:pos:R:3 pbc="T T T"
K 0.620 -0.759 1.452
K 2.557 0.006 4.627
Rh -0.117 -1.771 4.605
Rh 3.294 1.019 1.474
```

Properties
- energy relative to the elements (eV per atom) = 0.737
- space group = C2/m
- D(E_F) (states/eV/cell) = 4.9
- distance to the lowest polymorph of the same formula (meV per atom) = 272

---

No. 10
Below is a relaxed structure of AlCu2, with properties calculated at the PBEsol level.

Structure (extended XYZ):
```
12
Lattice="-1.390 2.660 2.011 -1.961 -2.414 1.838 10.038 -1.317 5.431" Properties=species:S:1:pos:R:3 pbc="T T T"
Al 1.329 -0.190 1.169
Al 5.358 -0.881 8.111
Al 4.530 -1.993 5.766
Al 1.871 -1.614 3.428
Cu 4.179 -0.596 3.676
Cu 2.508 -0.474 5.605
Cu 7.379 -2.400 8.273
Cu -0.978 -1.207 0.921
Cu 6.956 -0.993 6.119
Cu -0.270 -0.078 3.161
Cu 2.080 0.934 3.447
Cu 4.892 0.533 5.920
```

Properties
- energy relative to the elements (eV per atom) = -0.197
- space group = I4_1/amd
- D(E_F) (states/eV/cell) = 3.0

---

No. 11
Below is a relaxed structure of MoP3Pb2O11, with properties calculated at the PBEsol level.

Structure (extended XYZ):
```
68
Lattice="6.543 0.000 -0.014 0.000 7.048 0.000 -3.211 0.000 19.710" Properties=species:S:1:pos:R:3 pbc="T T T"
Mo 0.741 6.124 2.407
Mo 2.408 4.449 12.255
Mo 2.591 0.924 17.290
Mo 0.925 2.600 7.442
P -0.288 0.235 5.361
P -0.689 1.025 17.964
P -0.856 4.549 11.595
P 2.721 4.894 8.966
P 4.188 2.499 8.101
P 1.954 3.759 4.487
P 5.488 1.370 0.868
P 1.379 3.289 15.210
P 3.620 6.813 14.335
P -2.156 5.678 18.828
P 4.021 6.024 1.733
P 0.611 2.154 10.730
Pb 3.054 0.188 5.339
Pb 5.155 3.713 4.495
Pb 2.369 2.685 1.494
Pb -0.703 6.209 8.354
Pb 4.036 0.840 11.342
Pb 0.278 6.860 14.357
Pb 0.963 4.364 18.203
Pb -1.822 3.336 15.201
O 0.881 3.425 5.555
O 4.727 2.331 1.756
O 2.534 1.885 19.158
O 3.482 5.855 8.079
O 0.602 4.542 15.682
O 0.868 1.640 9.310
O 3.615 4.802 0.927
O -0.283 2.246 18.770
O 0.798 5.164 0.539
O 4.594 1.278 8.908
O 0.785 6.949 4.293
O 2.730 2.507 4.015
O 2.206 2.797 16.454
O -1.922 5.769 14.847
O 2.792 6.321 13.091
O 2.997 2.252 7.151
O 4.553 0.049 0.653
O -1.880 1.273 17.013
O 2.464 5.409 10.387
O 2.821 6.646 2.481
O 5.212 5.776 2.683
O 1.126 4.252 3.243
O -0.324 3.476 10.515
O -2.147 1.017 13.877
O 2.547 0.099 15.404
O 0.261 0.898 1.533
O 2.451 3.624 14.141
O -1.155 3.122 7.367
O 5.255 1.280 4.850
O 3.072 6.150 18.163
O 2.954 4.804 4.985
O 5.479 6.031 5.820
O 1.405 4.423 8.315
O 3.657 3.573 9.182
O -1.220 7.000 19.044
O 0.512 0.402 17.215
O 0.335 4.797 12.545
O -1.262 5.770 10.789
O -0.149 1.193 11.618
O 0.378 2.244 14.712
O 1.927 2.626 11.382
O 4.487 3.927 12.330
O -1.395 4.717 17.941
O 0.540 0.728 6.606
```

Properties
- formation energy without anion corrections (eV/atom) = -1.940
- space group = P2_1/c

---

No. 12
Below is a relaxed structure of ZrTcMo2, with properties calculated at the PBEsol level.

Structure (extended XYZ):
```
4
Lattice="3.167 0.000 0.000 0.000 4.470 0.000 -1.583 -2.235 4.564" Properties=species:S:1:pos:R:3 pbc="T T T"
Mo 1.583 2.235 2.350
Mo 0.000 0.000 2.215
Tc 1.583 0.000 0.000
Zr 0.000 2.235 0.000
```

Properties
- energy relative to the elements (eV per atom) = -0.099
- space group = Immm
- D(E_F) (states/eV/cell) = 2.4
- distance to the lowest polymorph of the same formula (meV per atom) = 13

---

No. 13
Below is a relaxed structure of Sr2InAg, with properties calculated at the PBEsol level.

Structure (extended XYZ):
```
4
Lattice="-2.220 1.379 2.820 -3.854 -3.760 -1.195 5.398 -2.476 2.840" Properties=species:S:1:pos:R:3 pbc="T T T"
Ag -2.894 -1.374 1.015
In -0.955 -3.424 0.922
Sr -0.751 -4.720 4.338
Sr 0.211 -1.386 3.465
```

Properties
- energy relative to the elements (eV per atom) = -0.267
- space group = Cm
- D(E_F) (states/eV/cell) = 3.3

---

Respective ρ values: 6.9, 5.4, 10.2, 5.8, 10.0, 8.8, 8.1, 6.3, 5.0, 7.0, 5.7, 9.8, 5.5 Mg/m³.
Respective electronic total energy values: -4.306, -3.444, -3.356, -4.132, -5.845, -3.916, -4.159, -3.024, -3.899, -4.450, -7.521, -11.072, -2.761 eV/atom.
Respective volume values: 22.50, 32.60, 26.18, 20.23, 33.02, 14.86, 15.66, 26.80, 23.57, 12.18, 13.36, 16.15, 30.15 Å³ per atom.